No. 1
This record from Alexandria via LeMat-Bulk describes Cs2ZrF6 at its PBEsol-relaxed geometry. The functional is meta-GGA SCAN.

Cell: 4.9739 6.3294 6.3294 Å, 120.00 90.00 90.00°
Closest atoms and distances in Å follow each position.
Positions (direct):
Cs (0.6954, 0.3333, 0.6667)  12 F 3.07-3.28
Cs (0.3046, 0.6667, 0.3333)  12 F 3.07-3.28
Zr (0.0000, 0.0000, 0.0000)  6 F 2.02
F (0.2233, 0.1535, 0.3070)  1 Zr 2.02
F (0.2233, 0.1535, 0.8465)  1 Zr 2.02
F (0.2233, 0.6930, 0.8465)  1 Zr 2.02
F (0.7767, 0.8465, 0.6930)  1 Zr 2.02
F (0.7767, 0.8465, 0.1535)  1 Zr 2.02
F (0.7767, 0.3070, 0.1535)  1 Zr 2.02

Properties
- E_form (uncorrected) (eV/atom) = -3.6565
- DFT total energy (eV per atom) = -17.830
- density (Mg/m³) = 4.532
- total magnetic moment (μB/f.u.) = 0.21

No. 2
This record from Alexandria via LeMat-Bulk describes Ni3HSe at its PBEsol-relaxed geometry. The functional is meta-GGA SCAN.

Cell: 3.6508 3.6508 3.6508 Å, 90.00 90.00 90.00°
Closest atoms and distances in Å follow each position.
Positions (direct):
Ni (0.0000, 0.5000, 0.0000)  2 H 1.83
Ni (0.0000, 0.0000, 0.5000)  2 H 1.83
Ni (0.5000, 0.0000, 0.0000)  2 H 1.83
Se (0.5000, 0.5000, 0.5000)  12 Ni 2.58
H (0.0000, 0.0000, 0.0000)  6 Ni 1.83

Properties
- DFT total energy (eV per atom) = -14.281
- density (Mg/m³) = 8.738
- total magnetic moment (μB/f.u.) = 0.02

No. 3
This record from Alexandria via LeMat-Bulk describes Li3InIr at its PBEsol-relaxed geometry. The functional is meta-GGA SCAN.

Cell: 4.5525 4.5525 4.5525 Å, 90.00 90.00 90.00°
Closest atoms and distances in Å follow each position.
Positions (direct):
Ir (0.5000, 0.5000, 0.5000)  12 Li 3.22
Li (0.0000, 0.5000, 0.0000)  2 In 2.28
Li (0.0000, 0.0000, 0.5000)  2 In 2.28
Li (0.5000, 0.0000, 0.0000)  2 In 2.28
In (0.0000, 0.0000, 0.0000)  6 Li 2.28

Properties
- energy relative to the elements (kJ/mol of atoms) = 97
- DFT total energy (eV per atom) = -21.321
- density (Mg/m³) = 5.770
- total magnetic moment (μB/f.u.) = 0.00

No. 4
This record from Alexandria via LeMat-Bulk describes MgFePt at its PBEsol-relaxed geometry. The functional is meta-GGA SCAN.

Cell: 2.7897 2.7897 5.9016 Å, 103.67 103.67 90.00°
Closest atoms and distances in Å follow each position.
Positions (direct):
Fe (0.0077, 0.0077, 0.0154)  4 Pt 2.60, 4 Mg 2.77, 4 Fe 2.79
Mg (0.3325, 0.3325, 0.6651)  4 Pt 2.75, 4 Fe 2.77, 4 Mg 2.79
Pt (0.6598, 0.6598, 0.3195)  4 Fe 2.60, 4 Mg 2.75, 4 Pt 2.79

Properties
- energy relative to the elements (kJ/mol of atoms) = -36
- DFT total energy (eV per atom) = -31.477
- density (Mg/m³) = 10.558
- total magnetic moment (μB/f.u.) = 3.01

> Which of these has the highest DFT total energy?

Ni3HSe

> What is the total magnetic moment in the second record?

0.02 μB/f.u.

Please write out number 4 again, unchanged.
This record from Alexandria via LeMat-Bulk describes MgFePt at its PBEsol-relaxed geometry. The functional is meta-GGA SCAN.

Cell: 2.7897 2.7897 5.9016 Å, 103.67 103.67 90.00°
Closest atoms and distances in Å follow each position.
Positions (direct):
Fe (0.0077, 0.0077, 0.0154)  4 Pt 2.60, 4 Mg 2.77, 4 Fe 2.79
Mg (0.3325, 0.3325, 0.6651)  4 Pt 2.75, 4 Fe 2.77, 4 Mg 2.79
Pt (0.6598, 0.6598, 0.3195)  4 Fe 2.60, 4 Mg 2.75, 4 Pt 2.79

Properties
- energy relative to the elements (kJ/mol of atoms) = -36
- DFT total energy (eV per atom) = -31.477
- density (Mg/m³) = 10.558
- total magnetic moment (μB/f.u.) = 3.01

Repeat the first record exactly.
This record from Alexandria via LeMat-Bulk describes Cs2ZrF6 at its PBEsol-relaxed geometry. The functional is meta-GGA SCAN.

Cell: 4.9739 6.3294 6.3294 Å, 120.00 90.00 90.00°
Closest atoms and distances in Å follow each position.
Positions (direct):
Cs (0.6954, 0.3333, 0.6667)  12 F 3.07-3.28
Cs (0.3046, 0.6667, 0.3333)  12 F 3.07-3.28
Zr (0.0000, 0.0000, 0.0000)  6 F 2.02
F (0.2233, 0.1535, 0.3070)  1 Zr 2.02
F (0.2233, 0.1535, 0.8465)  1 Zr 2.02
F (0.2233, 0.6930, 0.8465)  1 Zr 2.02
F (0.7767, 0.8465, 0.6930)  1 Zr 2.02
F (0.7767, 0.8465, 0.1535)  1 Zr 2.02
F (0.7767, 0.3070, 0.1535)  1 Zr 2.02

Properties
- E_form (uncorrected) (eV/atom) = -3.6565
- DFT total energy (eV per atom) = -17.830
- density (Mg/m³) = 4.532
- total magnetic moment (μB/f.u.) = 0.21